SiAs2 | Alexandria | GGA-PBE | optimized geometry; DOS(E_F) = 0.25 states/eV per atom; energy above the most stable polymorph in this dataset = 156 meV per atom; calculated volume = 19.61 Å³ per atom; symmetry = Pnnm; final energy = -29.02 eV for the cell shown; uncorrected formation energy = 71 meV per atom
1.0
-0.490 -1.534 3.366
4.170 -2.787 -0.664
3.433 4.527 2.563
Si As
2 4
direct
0.000 0.000 0.000
0.500 0.500 0.500
0.000 0.194 0.619
0.000 0.806 0.381
0.500 0.694 0.881
0.500 0.306 0.119